Record 1
A plane-wave DFT calculation with PBE was carried out for crystalline PrMoH at its relaxed geometry.

Lattice parameters (Å, degrees): 3.2515 3.2515 11.0156 90.00 90.00 120.00
Element x y z (fractional)
Pr  0.0000  0.0000  0.1583
Pr  0.0000  0.0000  0.8417
Mo  0.3333  0.6667  0.3982
Mo  0.3333  0.6667  0.6018
H  0.0000  0.0000  0.5000
H  0.3333  0.6667  0.0000

Output
VASP energy ... -0.22025 hartree per atom
Space group ... P-6m2



Record 2
A plane-wave DFT calculation with PBE was carried out for crystalline Pr2MoH6 at its relaxed geometry.

Lattice parameters (Å, degrees): 5.2850 5.2850 5.2850 60.00 60.00 60.00
Element x y z (fractional)
Pr  0.2500  0.2500  0.2500
Pr  0.7500  0.7500  0.7500
Mo  0.0000  0.0000  0.0000
H  0.2490  0.2490  0.7510
H  0.2490  0.7510  0.2490
H  0.2490  0.7510  0.7510
H  0.7510  0.2490  0.2490
H  0.7510  0.2490  0.7510
H  0.7510  0.7510  0.2490

Output
VASP energy ... -0.18216 hartree per atom
Space group ... Fm-3m



Record 3
A plane-wave DFT calculation with PBE was carried out for crystalline PrMo2H7 at its relaxed geometry.

Lattice parameters (Å, degrees): 5.3406 5.3406 3.6024 90.00 90.00 117.89
Element x y z (fractional)
Pr  0.0000  0.0000  0.0000
Mo  0.3015  0.6985  0.5000
Mo  0.6985  0.3015  0.5000
H  0.0443  0.3138  0.5000
H  0.3138  0.0443  0.5000
H  0.3603  0.6397  0.0000
H  0.5000  0.5000  0.5000
H  0.6397  0.3603  0.0000
H  0.6862  0.9557  0.5000
H  0.9557  0.6862  0.5000

Output
VASP energy ... -0.18505 hartree per atom
Space group ... Cmmm